*w*
VASP calculation (PBE) on a relaxed LiCoBr2 crystal.

Summary:
M_tot	2.00	μB/f.u.
D(E_F)	5.2	states/eV per cell

Cell and atoms, written as POSCAR:
```
LiCoBr2
1.0
4.036 0.000 0.000
-2.018 3.496 0.000
0.000 0.000 22.646
Li Co Br
3 3 6
Direct
0.000 0.000 0.000
0.333 0.667 0.667
0.667 0.333 0.333
0.000 0.000 0.145
0.333 0.667 0.812
0.667 0.333 0.479
0.000 0.000 0.457
0.000 0.000 0.635
0.333 0.667 0.124
0.333 0.667 0.302
0.667 0.333 0.790
0.667 0.333 0.968
```

---

*x*
VASP calculation (PBE) on a relaxed LiCoBr2 crystal.

Summary:
M_tot	2.00	μB/f.u.
D(E_F)	0.3	states/eV per cell

Cell and atoms, written as POSCAR:
```
LiCoBr2
1.0
5.445 0.000 0.000
0.000 3.626 0.000
-0.374 0.000 5.774
Li Co Br
1 1 2
Direct
0.000 0.000 0.000
0.000 0.000 0.500
0.209 0.500 0.741
0.791 0.500 0.259
```

---

Which structure is most stable, and how do the rest compare? From most to least stable: *w*, *x*.